First-principles (meta-GGA SCAN) data for a crystal of NaCO3 relaxed with PBEsol, as listed in the Alexandria database.

Lattice parameters (Å, degrees): 3.3640 3.3640 3.3640 90.00 90.00 90.00
Element x y z (fractional)
1 Na 0.5000 0.5000 0.5000
2 C 0.0000 0.0000 0.0000
3 O 0.0000 0.5000 0.0000
4 O 0.0000 0.0000 0.5000
5 O 0.5000 0.0000 0.0000

Properties
SG: Pm-3m, No. 221
crystal system: cubic

First-principles (meta-GGA SCAN) data for a crystal of KInSnSe4 relaxed with PBEsol, as listed in the Alexandria database.

Lattice parameters (Å, degrees): 7.8032 12.2186 18.4572 90.00 97.33 90.00
Element x y z (fractional)
1 K 0.2494 0.0735 0.6862
2 K 0.2494 0.4265 0.1862
3 K 0.7343 0.6059 0.4543
4 K 0.2657 0.3941 0.5457
5 K 0.7506 0.5735 0.8138
6 K 0.2657 0.1059 0.0457
7 K 0.7506 0.9265 0.3138
8 K 0.7343 0.8941 0.9543
9 In 0.4667 0.7566 0.1548
10 In 0.5333 0.2566 0.3452
11 In 0.0438 0.2439 0.8585
12 In 0.9562 0.7561 0.1415
13 In 0.5333 0.2434 0.8452
14 In 0.0438 0.2561 0.3585
15 In 0.9562 0.7439 0.6415
16 In 0.4667 0.7434 0.6548
17 Sn 0.8060 0.3444 0.0149
18 Sn 0.7559 0.2912 0.6751
19 Sn 0.1940 0.8444 0.4851
20 Sn 0.2441 0.7088 0.3249
21 Sn 0.8060 0.1556 0.5149
22 Sn 0.1940 0.6556 0.9851
23 Sn 0.7559 0.2088 0.1751
24 Sn 0.2441 0.7912 0.8249
25 Se 0.4620 0.1684 0.2138
26 Se 0.8040 0.4120 0.1465
27 Se 0.2474 0.8605 0.9575
28 Se 0.2474 0.6395 0.4575
29 Se 0.8040 0.0880 0.6465
30 Se 0.5380 0.8316 0.7862
31 Se 0.8910 0.8611 0.5213
32 Se 0.0147 0.1200 0.2490
33 Se 0.2952 0.3935 0.3652
34 Se 0.4426 0.9175 0.5733
35 Se 0.0147 0.3800 0.7490
36 Se 0.7048 0.6065 0.6348
37 Se 0.5380 0.6684 0.2862
38 Se 0.1090 0.1389 0.4787
39 Se 0.7048 0.8935 0.1348
40 Se 0.8910 0.6389 0.0213
41 Se 0.7879 0.3881 0.3453
42 Se 0.1960 0.9120 0.3535
43 Se 0.2952 0.1065 0.8652
44 Se 0.4620 0.3316 0.7138
45 Se 0.4426 0.5825 0.0733
46 Se 0.5574 0.0825 0.4267
47 Se 0.2121 0.8881 0.1547
48 Se 0.9853 0.6200 0.2510
49 Se 0.7526 0.1395 0.0425
50 Se 0.2121 0.6119 0.6547
51 Se 0.1960 0.5880 0.8535
52 Se 0.1090 0.3611 0.9787
53 Se 0.7526 0.3605 0.5425
54 Se 0.5574 0.4175 0.9267
55 Se 0.7879 0.1119 0.8453
56 Se 0.9853 0.8800 0.7510

Properties
SG: P2_1/c, No. 14
crystal system: monoclinic

First-principles (meta-GGA SCAN) data for a crystal of CdOs2Br relaxed with PBEsol, as listed in the Alexandria database.

Lattice parameters (Å, degrees): 2.9390 4.6715 5.6149 114.23 104.64 91.24
Element x y z (fractional)
1 Os 0.0000 0.0000 0.5000
2 Os 0.5000 0.5000 0.5000
3 Br 0.5000 0.0000 0.0000
4 Cd 0.0000 0.5000 0.0000

Properties
polymorph energy (0 for the lowest one): 0.709 eV per atom
SG: C2/m, No. 12
crystal system: monoclinic

First-principles (meta-GGA SCAN) data for a crystal of Cd2AsIr relaxed with PBEsol, as listed in the Alexandria database.

Lattice parameters (Å, degrees): 3.9995 3.9995 5.1663 112.77 112.77 90.00
Element x y z (fractional)
1 As 0.5000 0.5000 0.0000
2 Ir 0.0000 0.0000 0.0000
3 Cd 0.7500 0.2500 0.5000
4 Cd 0.2500 0.7500 0.5000

Properties
energy relative to the elements: 0.247 eV per atom
SG: I4/mmm, No. 139
crystal system: tetragonal

Number 1: raw total energy -31.237 eV for the cell shown. Number 2: raw total energy -1306.035 eV for the cell shown. Number 3: raw total energy -188.453 eV for the cell shown. Number 4: raw total energy -151.132 eV for the cell shown.